1.
A crystal of Si2TeAs relaxed with PBEsol. Source: the Alexandria database, functional meta-GGA SCAN.

calculated total energy	-18.60	eV per atom
raw formation energy	0.77	eV per atom
excess energy over the best structure of this formula in the dataset	156	meV/atom

abc: 3.897 3.897 10.419
angles: 90.00 90.00 90.00
Element x y z (fractional)
Si (0.000, 0.000, 0.000)
Si (0.000, 0.500, 0.250)
Si (0.500, 0.000, 0.750)
Si (0.500, 0.500, 0.500)
Te (0.000, 0.000, 0.500)
Te (0.500, 0.500, 0.000)
As (0.000, 0.500, 0.750)
As (0.500, 0.000, 0.250)



2.
A crystal of SiTeAs3 relaxed with PBEsol. Source: the Alexandria database, functional meta-GGA SCAN.

calculated total energy	-20.14	eV per atom
raw formation energy	1.43	eV per atom

abc: 5.190 5.190 5.190
angles: 90.00 90.00 90.00
Element x y z (fractional)
Si (0.000, 0.000, 0.000)
Te (0.500, 0.500, 0.500)
As (0.000, 0.500, 0.500)
As (0.500, 0.000, 0.500)
As (0.500, 0.500, 0.000)



3.
A crystal of Si2TeAs relaxed with PBEsol. Source: the Alexandria database, functional meta-GGA SCAN.

calculated total energy	-18.75	eV per atom
raw formation energy	0.62	eV per atom
excess energy over the best structure of this formula in the dataset	0	meV/atom

abc: 3.359 4.669 9.889
angles: 90.00 90.00 90.00
Element x y z (fractional)
Si (0.000, 0.000, 0.000)
Si (0.000, 0.500, 0.297)
Si (0.500, 0.000, 0.797)
Si (0.500, 0.500, 0.500)
Te (0.000, 0.500, 0.809)
Te (0.500, 0.000, 0.309)
As (0.000, 0.000, 0.597)
As (0.500, 0.500, 0.097)



4.
A crystal of TiSiTe2As relaxed with PBEsol. Source: the Alexandria database, functional meta-GGA SCAN.

calculated total energy	-23.37	eV per atom
raw formation energy	0.78	eV per atom

abc: 5.414 5.414 4.700
angles: 90.00 90.00 90.00
Element x y z (fractional)
Ti (0.000, 0.000, 0.000)
Si (0.500, 0.500, 0.000)
Te (0.000, 0.500, 0.500)
Te (0.500, 0.000, 0.500)
As (0.000, 0.000, 0.500)



5.
A crystal of Zr2SiTe2As relaxed with PBEsol. Source: the Alexandria database, functional meta-GGA SCAN.

calculated total energy	-28.59	eV per atom
raw formation energy	-0.91	eV per atom

abc: 3.713 3.713 9.640
angles: 90.00 90.00 90.00
Element x y z (fractional)
Zr (0.000, 0.500, 0.215)
Zr (0.500, 0.000, 0.785)
Si (0.500, 0.500, 0.000)
Te (0.000, 0.500, 0.646)
Te (0.500, 0.000, 0.354)
As (0.000, 0.000, 0.000)



6.
A crystal of TlSiAs2 relaxed with PBEsol. Source: the Alexandria database, functional meta-GGA SCAN.

calculated total energy	-30.50	eV per atom
raw formation energy	0.19	eV per atom
excess energy over the best structure of this formula in the dataset	0	meV/atom

abc: 4.869 3.573 5.428
angles: 90.00 114.30 90.00
Element x y z (fractional)
Tl (0.000, 0.000, 0.000)
Si (0.500, 0.000, 0.500)
As (0.258, 0.500, 0.675)
As (0.742, 0.500, 0.325)



7.
A crystal of Tl2SiAs relaxed with PBEsol. Source: the Alexandria database, functional meta-GGA SCAN.

calculated total energy	-43.12	eV per atom
raw formation energy	0.62	eV per atom
excess energy over the best structure of this formula in the dataset	386	meV/atom

abc: 7.126 7.126 7.126
angles: 90.00 90.00 90.00
Element x y z (fractional)
Tl (0.250, 0.250, 0.250)
Tl (0.250, 0.250, 0.750)
Tl (0.250, 0.750, 0.250)
Tl (0.250, 0.750, 0.750)
Tl (0.750, 0.250, 0.250)
Tl (0.750, 0.250, 0.750)
Tl (0.750, 0.750, 0.250)
Tl (0.750, 0.750, 0.750)
Si (0.000, 0.000, 0.000)
Si (0.000, 0.500, 0.500)
Si (0.500, 0.000, 0.500)
Si (0.500, 0.500, 0.000)
As (0.000, 0.000, 0.500)
As (0.000, 0.500, 0.000)
As (0.500, 0.000, 0.000)
As (0.500, 0.500, 0.500)



8.
A crystal of Tl2SiAs relaxed with PBEsol. Source: the Alexandria database, functional meta-GGA SCAN.

calculated total energy	-43.50	eV per atom
raw formation energy	0.23	eV per atom
excess energy over the best structure of this formula in the dataset	0	meV/atom

abc: 3.451 3.451 7.836
angles: 90.00 90.00 90.00
Element x y z (fractional)
Tl (0.000, 0.000, 0.000)
Tl (0.500, 0.500, 0.324)
Si (0.500, 0.500, 0.726)
As (0.000, 0.000, 0.609)



9.
A crystal of TlSi2As2 relaxed with PBEsol. Source: the Alexandria database, functional meta-GGA SCAN.

calculated total energy	-26.34	eV per atom
raw formation energy	0.22	eV per atom

abc: 4.794 4.794 8.544
angles: 90.00 90.00 90.00
Element x y z (fractional)
Tl (0.000, 0.000, 0.000)
Tl (0.500, 0.500, 0.500)
Si (0.000, 0.000, 0.357)
Si (0.000, 0.000, 0.643)
Si (0.500, 0.500, 0.143)
Si (0.500, 0.500, 0.857)
As (0.000, 0.500, 0.250)
As (0.000, 0.500, 0.750)
As (0.500, 0.000, 0.250)
As (0.500, 0.000, 0.750)



10.
A crystal of TlSiAs2 relaxed with PBEsol. Source: the Alexandria database, functional meta-GGA SCAN.

calculated total energy	-30.31	eV per atom
raw formation energy	0.38	eV per atom
excess energy over the best structure of this formula in the dataset	189	meV/atom

abc: 3.322 3.322 7.430
angles: 90.00 90.00 90.00
Element x y z (fractional)
Tl (0.000, 0.000, 0.000)
Si (0.000, 0.000, 0.500)
As (0.500, 0.500, 0.319)
As (0.500, 0.500, 0.681)



11.
A crystal of TlSiAs2 relaxed with PBEsol. Source: the Alexandria database, functional meta-GGA SCAN.

calculated total energy	-30.31	eV per atom
raw formation energy	0.37	eV per atom
excess energy over the best structure of this formula in the dataset	185	meV/atom

abc: 3.563 3.563 6.798
angles: 90.00 90.00 90.00
Element x y z (fractional)
Tl (0.000, 0.000, 0.000)
Si (0.500, 0.500, 0.654)
As (0.000, 0.000, 0.515)
As (0.500, 0.500, 0.297)



12.
A crystal of TlSiAs2 relaxed with PBEsol. Source: the Alexandria database, functional meta-GGA SCAN.

calculated total energy	-30.13	eV per atom
raw formation energy	0.55	eV per atom
excess energy over the best structure of this formula in the dataset	364	meV/atom

abc: 3.424 5.186 9.252
angles: 90.00 90.00 90.00
Element x y z (fractional)
Tl (0.000, 0.000, 0.000)
Tl (0.500, 0.500, 0.500)
Si (0.000, 0.500, 0.221)
Si (0.500, 0.000, 0.721)
As (0.000, 0.000, 0.509)
As (0.000, 0.500, 0.789)
As (0.500, 0.000, 0.289)
As (0.500, 0.500, 0.009)



- Which of these has the highest raw formation energy?
  SiTeAs3